Entry 1:
First-principles (PBE+U) data for a relaxed structure of Cs2NdWO6, as listed in Alexandria via LeMat-Bulk.

## Properties
Space-group type: P-3m1, No. 164
Total energy, Ry/atom: -0.4690
Spin magnetization, μB/f.u.: 1.04

abc: 6.1219 6.8921 6.8921
angles: 120.00 90.00 90.00
Sites, in units of the cell vectors:
Nd: 0.5000 0.0000 0.0000
O: 0.8015 0.1290 0.2580
O: 0.8015 0.1290 0.8710
O: 0.1985 0.8710 0.1290
O: 0.1985 0.8710 0.7420
O: 0.8015 0.7420 0.8710
O: 0.1985 0.2580 0.1290
W: 0.0000 0.0000 0.0000
Cs: 0.8946 0.6667 0.3333
Cs: 0.1054 0.3333 0.6667

---

Entry 2:
First-principles (PBE+U) data for a relaxed structure of Er3Fe5O12, as listed in Alexandria via LeMat-Bulk.

## Properties
Space-group type: Ia-3d, No. 230
Total energy, Ry/atom: -0.5278
Spin magnetization, μB/f.u.: 13.00

abc: 10.6880 10.6880 10.6880
angles: 109.47 109.47 109.47
Sites, in units of the cell vectors:
O: 0.3258 0.9179 0.2946
O: 0.0821 0.7054 0.6742
O: 0.6742 0.0821 0.7054
O: 0.3258 0.9079 0.0312
O: 0.2054 0.1233 0.0312
O: 0.6742 0.0921 0.9688
O: 0.9688 0.7946 0.8767
O: 0.2946 0.4688 0.3767
O: 0.8258 0.7946 0.4179
O: 0.1233 0.0312 0.2054
O: 0.0921 0.6233 0.4179
O: 0.2946 0.3258 0.9179
O: 0.9079 0.3767 0.5821
O: 0.9688 0.6742 0.0921
O: 0.5921 0.9179 0.1233
O: 0.1742 0.4688 0.5921
O: 0.5821 0.1742 0.2054
O: 0.4179 0.8258 0.7946
O: 0.9179 0.2946 0.3258
O: 0.5921 0.1742 0.4688
O: 0.1233 0.5921 0.9179
O: 0.7054 0.5312 0.6233
O: 0.1742 0.2054 0.5821
O: 0.7946 0.8767 0.9688
O: 0.0312 0.2054 0.1233
O: 0.5312 0.4079 0.8258
O: 0.6233 0.7054 0.5312
O: 0.5821 0.9079 0.3767
O: 0.7946 0.4179 0.8258
O: 0.4079 0.0821 0.8767
O: 0.0821 0.8767 0.4079
O: 0.4688 0.3767 0.2946
O: 0.4079 0.8258 0.5312
O: 0.9079 0.0312 0.3258
O: 0.0921 0.9688 0.6742
O: 0.5312 0.6233 0.7054
O: 0.2054 0.5821 0.1742
O: 0.6233 0.4179 0.0921
O: 0.8767 0.4079 0.0821
O: 0.7054 0.6742 0.0821
O: 0.8767 0.9688 0.7946
O: 0.8258 0.5312 0.4079
O: 0.4688 0.5921 0.1742
O: 0.0312 0.3258 0.9079
O: 0.9179 0.1233 0.5921
O: 0.3767 0.2946 0.4688
O: 0.4179 0.0921 0.6233
O: 0.3767 0.5821 0.9079
Fe: 0.5000 0.0000 0.5000
Fe: 0.7500 0.8750 0.1250
Fe: 0.8750 0.1250 0.7500
Fe: 0.1250 0.8750 0.2500
Fe: 0.0000 0.0000 0.0000
Fe: 0.5000 0.5000 0.5000
Fe: 0.5000 0.0000 0.0000
Fe: 0.6250 0.7500 0.3750
Fe: 0.0000 0.5000 0.5000
Fe: 0.8750 0.2500 0.1250
Fe: 0.1250 0.7500 0.8750
Fe: 0.0000 0.5000 0.0000
Fe: 0.2500 0.1250 0.8750
Fe: 0.7500 0.3750 0.6250
Fe: 0.3750 0.6250 0.7500
Fe: 0.6250 0.3750 0.2500
Fe: 0.0000 0.0000 0.5000
Fe: 0.3750 0.2500 0.6250
Fe: 0.5000 0.5000 0.0000
Fe: 0.2500 0.6250 0.3750
Er: 0.7500 0.1250 0.3750
Er: 0.8750 0.6250 0.2500
Er: 0.1250 0.2500 0.3750
Er: 0.8750 0.7500 0.6250
Er: 0.3750 0.1250 0.2500
Er: 0.3750 0.7500 0.1250
Er: 0.1250 0.3750 0.7500
Er: 0.2500 0.3750 0.1250
Er: 0.2500 0.8750 0.6250
Er: 0.6250 0.2500 0.8750
Er: 0.6250 0.8750 0.7500
Er: 0.7500 0.6250 0.8750